[1]
The following is a DFT calculation (SCAN) of a crystal of La3As relaxed with PBEsol.

Properties
Formation enthalpy at 0 K, eV per formula unit: -2.57
Spin magnetization, μB per formula unit: 0.0

Unit cell a=4.747 b=4.747 c=4.747 alpha=90.00 beta=90.00 gamma=90.00
Space group Pm-3m (No. 221)
Unique sites:
La  0.000  0.000  0.500 [3 per cell]
As  0.500  0.500  0.500 [1 per cell]

[2]
The following is a DFT calculation (SCAN) of a crystal of LaAs relaxed with PBEsol.

Properties
Formation enthalpy at 0 K, eV per formula unit: -3.15
Spin magnetization, μB per formula unit: 0.0

Unit cell a=4.047 b=4.597 c=6.099 alpha=90.00 beta=109.16 gamma=90.00
Space group P2_1/m (No. 11)
Unique sites:
La  0.125  0.250  0.247 [2 per cell]
As  0.382  0.250  0.765 [2 per cell]

[3]
The following is a DFT calculation (SCAN) of a crystal of LaAs relaxed with PBEsol.

Properties
Formation enthalpy at 0 K, eV per formula unit: -1.54
Spin magnetization, μB per formula unit: 0.0

Unit cell a=4.4641 b=4.4641 c=21.1020 alpha=90.00 beta=90.00 gamma=120.00
Space group R-3m (No. 166, hexagonal axes)
Unique sites:
La  0.0000  0.0000  0.0863 [6 per cell]
As  0.0000  0.0000  0.3338 [6 per cell]